1.
# K2AgH3 (PBE, relaxed)
# Raw total energy   -31.7 eV per cell
# Calculated density   2.481 g/cm3
# Excess energy over the best structure of this formula in the dataset   0.00 eV/f.u.
data_K2AgH3
_cell_length_a 6.2710
_cell_length_b 6.2710
_cell_length_c 7.4321
_cell_angle_alpha 90.00
_cell_angle_beta 90.00
_cell_angle_gamma 120.00
_symmetry_space_group_name_H-M 'P -3 m 1'
_symmetry_Int_Tables_number 164
_symmetry_space_group_name_Hall '-P 3 2"'
loop_
_atom_site_label
_atom_site_type_symbol
_atom_site_fract_x
_atom_site_fract_y
_atom_site_fract_z
K1 K 0.0000 0.0000 0.0000
K2 K 0.0000 0.0000 0.5000
K3 K 0.3333 0.6667 0.2484
Ag1 Ag 0.3333 0.6667 0.7500
H1 H 0.1705 0.3410 0.7502

=====

2.
# BaCuAu2 (PBE, relaxed)
# Raw total energy   -25.5 eV per cell
# Calculated density   9.926 g/cm3
# Formation energy   -0.039 eV per atom
# Excess energy over the best structure of this formula in the dataset   1.62 eV/f.u.
data_BaCuAu2
_cell_length_a 6.004
_cell_length_b 7.411
_cell_length_c 4.555
_cell_angle_alpha 90.00
_cell_angle_beta 100.91
_cell_angle_gamma 90.00
_symmetry_space_group_name_H-M 'C 1 2/m 1'
_symmetry_Int_Tables_number 12
loop_
_symmetry_equiv_pos_as_xyz
'x,y,z'
'-x,-y,-z'
'-x,y,-z'
'x,-y,z'
'x+1/2,y+1/2,z'
'-x+1/2,-y+1/2,-z'
'-x+1/2,y+1/2,-z'
'x+1/2,-y+1/2,z'
loop_
_atom_site_label
_atom_site_type_symbol
_atom_site_fract_x
_atom_site_fract_y
_atom_site_fract_z
Ba1 Ba 0.000 0.000 0.000
Cu1 Cu 0.000 0.500 0.000
Au1 Au 0.250 0.250 0.500

=====

3.
# Ba2LiAu (PBE, relaxed)
# Raw total energy   -32.0 eV per cell
# Calculated density   4.957 g/cm3
# Formation energy   -0.410 eV per atom
# Excess energy over the best structure of this formula in the dataset   0.00 eV/f.u.
data_Ba2LiAu
_cell_length_a 4.6871
_cell_length_b 4.6871
_cell_length_c 25.2810
_cell_angle_alpha 90.00
_cell_angle_beta 90.00
_cell_angle_gamma 120.00
_symmetry_space_group_name_H-M 'R 3 m'
_symmetry_Int_Tables_number 160
_symmetry_space_group_name_Hall 'R 3 -2"'
loop_
_atom_site_label
_atom_site_type_symbol
_atom_site_fract_x
_atom_site_fract_y
_atom_site_fract_z
Ba1 Ba 0.0000 0.0000 0.0000
Ba2 Ba 0.0000 0.0000 0.1767
Li1 Li 0.0000 0.0000 0.4216
Au1 Au 0.0000 0.0000 0.7551

=====

4.
# InCuIrPb2 (PBE, relaxed)
# Raw total energy   -18.9 eV per cell
# Calculated density   10.368 g/cm3
# Formation energy   0.843 eV per atom
data_InCuIrPb2
_cell_length_a 5.078
_cell_length_b 5.078
_cell_length_c 4.875
_cell_angle_alpha 90.00
_cell_angle_beta 90.00
_cell_angle_gamma 90.00
_symmetry_space_group_name_H-M 'P 4/m m m'
_symmetry_Int_Tables_number 123
_symmetry_space_group_name_Hall '-P 4 2'
loop_
_atom_site_label
_atom_site_type_symbol
_atom_site_fract_x
_atom_site_fract_y
_atom_site_fract_z
In1 In 0.000 0.000 0.000
Cu1 Cu 0.000 0.000 0.500
Ir1 Ir 0.500 0.500 0.000
Pb1 Pb 0.000 0.500 0.500

=====

5.
# AlPRh2F (PBE, relaxed)
# Raw total energy   -25.4 eV per cell
# Calculated density   6.426 g/cm3
# Raw formation energy   0.065 eV per atom
data_AlPRh2F
_cell_length_a 4.607
_cell_length_b 4.607
_cell_length_c 3.443
_cell_angle_alpha 90.00
_cell_angle_beta 90.00
_cell_angle_gamma 90.00
_symmetry_space_group_name_H-M 'P 4/m m m'
_symmetry_Int_Tables_number 123
_symmetry_space_group_name_Hall '-P 4 2'
loop_
_atom_site_label
_atom_site_type_symbol
_atom_site_fract_x
_atom_site_fract_y
_atom_site_fract_z
Al1 Al 0.000 0.000 0.000
P1 P 0.500 0.500 0.000
Rh1 Rh 0.000 0.500 0.500
F1 F 0.000 0.000 0.500

=====

6.
# CuRuPt5 (PBE, relaxed)
# Raw total energy   -42.2 eV per cell
# Calculated density   16.429 g/cm3
# Formation energy   0.201 eV per atom
data_CuRuPt5
_cell_length_a 4.637
_cell_length_b 4.637
_cell_length_c 5.359
_cell_angle_alpha 90.00
_cell_angle_beta 90.00
_cell_angle_gamma 90.00
_symmetry_space_group_name_H-M 'P 4/m m m'
_symmetry_Int_Tables_number 123
_symmetry_space_group_name_Hall '-P 4 2'
loop_
_atom_site_label
_atom_site_type_symbol
_atom_site_fract_x
_atom_site_fract_y
_atom_site_fract_z
Cu1 Cu 0.000 0.000 0.000
Ru1 Ru 0.000 0.000 0.500
Pt1 Pt 0.000 0.500 0.254
Pt2 Pt 0.500 0.500 0.000

=====

Which value of raw total energy does entry 5 give? -25.4 eV per cell

=====

What is the formula in the fourth record? InCuIrPb2